1.
6
Lattice="3.416 0.000 0.000 -1.708 2.959 0.000 0.000 0.000 8.372" Properties=species:S:1:pos:R:3 comment="Tb2GdO3 (GGA-PBE, optimized geometry)" final_energy_ev_per_atom=-7.591 m_tot_mub_per_fu=0.0 pbc="T T T"
Gd 0.000 0.000 4.186
O 0.000 0.000 0.000
O 1.708 0.986 2.771
O 0.000 1.972 5.600
Tb 0.000 1.972 1.396
Tb 1.708 0.986 6.975

2.
9
Lattice="-2.250 7.640 -5.450 -3.754 -0.455 0.912 0.464 2.333 3.078" Properties=species:S:1:pos:R:3 comment="Tb2Gd2O5 (GGA-PBE, optimized geometry)" final_energy_ev_per_atom=-7.697 polymorph_energy_mev_per_atom=0 m_tot_mub_per_fu=1.4 pbc="T T T"
Gd 0.000 0.000 0.000
Gd -1.125 3.820 -2.725
O -2.202 0.875 -0.331
O -3.803 6.309 -4.207
O -0.093 2.269 0.752
O -1.693 7.703 -3.124
O -2.770 4.759 -0.730
Tb -2.191 2.794 0.671
Tb -3.349 6.723 -2.132

3.
5
Lattice="-3.202 2.807 -0.537 -2.719 -2.744 1.870 0.879 1.735 3.826" Properties=species:S:1:pos:R:3 comment="TbGdO3 (GGA-PBE, optimized geometry)" final_energy_ev_per_atom=-7.480 m_tot_mub_per_fu=0.0 pbc="T T T"
Gd 0.000 0.000 0.000
O -2.961 0.032 0.666
O -1.161 2.271 1.644
O -0.920 -0.504 2.848
Tb -2.521 0.899 2.579

4.
9
Lattice="-1.409 -6.496 6.715 1.131 -2.821 -2.492 3.718 0.432 1.199" Properties=species:S:1:pos:R:3 comment="Tb2Gd2O5 (GGA-PBE, optimized geometry)" final_energy_ev_per_atom=-7.668 polymorph_energy_mev_per_atom=29 m_tot_mub_per_fu=1.5 pbc="T T T"
Gd 2.082 -2.774 0.986
Gd 1.358 -6.111 4.436
O 0.363 -2.344 -0.281
O -0.641 -6.973 4.504
O 1.656 -0.718 1.564
O 0.652 -5.346 6.349
O 1.720 -4.442 2.711
Tb 0.000 0.000 0.000
Tb -0.705 -3.248 3.357